Record 1
A relaxed structure of Pm6YEr4, computed with PBE.

```
data_Pm6YEr4
_chemical_formula_sum 'Pm12 Y2 Er8'
_cell_length_a 6.6470
_cell_length_b 6.6470
_cell_length_c 17.0949
_cell_angle_alpha 90.00
_cell_angle_beta 90.00
_cell_angle_gamma 90.00
_space_group_name_H-M_alt 'I -4 2 m'
_space_group_IT_number 121
_space_group_name_Hall 'I -4 2'
loop_
_atom_site_label
_atom_site_fract_x
_atom_site_fract_y
_atom_site_fract_z
Pm1 0.0000 0.5000 0.0000
Pm2 0.1888 0.1888 0.3217
Y1 0.0000 0.0000 0.5000
Er1 0.1787 0.1787 0.1250
```

Results
Its magnetization is 0.00 μB per cell. The raw total energy is -99.63 eV per cell. The value obtained for the mass density is 7.16 g/cm³.

Record 2
A relaxed structure of Pm4Y3Er4, computed with PBE.

```
data_Pm4Y3Er4
_chemical_formula_sum 'Pm8 Y6 Er8'
_cell_length_a 10.5767
_cell_length_b 5.6806
_cell_length_c 12.0788
_cell_angle_alpha 90.00
_cell_angle_beta 90.00
_cell_angle_gamma 90.00
_space_group_name_H-M_alt 'A m m 2'
_space_group_IT_number 38
loop_
_space_group_symop_operation_xyz
'x,y,z'
'-x,-y,z'
'-x,y,z'
'x,-y,z'
'x,y+1/2,z+1/2'
'-x,-y+1/2,z+1/2'
'-x,y+1/2,z+1/2'
'x,-y+1/2,z+1/2'
loop_
_atom_site_label
_atom_site_fract_x
_atom_site_fract_y
_atom_site_fract_z
Pm1 0.0000 0.0000 0.0000
Pm2 0.2076 0.0000 0.7944
Pm3 0.5000 0.0000 0.9249
Y1 0.0000 0.0000 0.2935
Y2 0.2909 0.0000 0.4503
Er1 0.0000 0.0000 0.5916
Er2 0.3016 0.0000 0.1435
Er3 0.5000 0.0000 0.6543
```

Results
As for the energy above the most stable polymorph in this dataset: 0.1135 eV/atom. Its magnetization is 0.00 μB per cell. The raw total energy is -110.09 eV per cell. The value obtained for the mass density is 6.94 g/cm³.

Record 3
A relaxed structure of PmYEr2, computed with PBE.

```
data_PmYEr2
_chemical_formula_sum 'Pm3 Y3 Er6'
_cell_length_a 3.5628
_cell_length_b 3.5628
_cell_length_c 34.7357
_cell_angle_alpha 90.00
_cell_angle_beta 90.00
_cell_angle_gamma 120.00
_space_group_name_H-M_alt 'R -3 m'
_space_group_IT_number 166
_space_group_name_Hall '-R 3 2"'
loop_
_atom_site_label
_atom_site_fract_x
_atom_site_fract_y
_atom_site_fract_z
Pm1 0.0000 0.0000 0.0000
Y1 0.0000 0.0000 0.5000
Er1 0.0000 0.0000 0.2494
```

Results
As for the energy above the most stable polymorph in this dataset: 0.0096 eV/atom. Its magnetization is 0.00 μB per cell. The raw total energy is -60.75 eV per cell. The value obtained for the mass density is 7.42 g/cm³.

Record 4
A relaxed structure of Pm12YEr6, computed with PBE.

```
data_Pm12YEr6
_chemical_formula_sum 'Pm36 Y3 Er18'
_cell_length_a 14.7839
_cell_length_b 14.7839
_cell_length_c 10.4323
_cell_angle_alpha 90.00
_cell_angle_beta 90.00
_cell_angle_gamma 120.00
_space_group_name_H-M_alt 'R -3'
_space_group_IT_number 148
_space_group_name_Hall '-R 3'
loop_
_atom_site_label
_atom_site_fract_x
_atom_site_fract_y
_atom_site_fract_z
Pm1 0.0544 0.8010 0.0801
Pm2 0.0645 0.8383 0.4188
Y1 0.0000 0.0000 0.0000
Er1 0.0510 0.8357 0.7596
```

Results
As for the energy above the most stable polymorph in this dataset: 0.1027 eV/atom. Its magnetization is 0.00 μB per cell. The raw total energy is -258.82 eV per cell. The value obtained for the mass density is 7.15 g/cm³.